TmZn2Pt3 | PBE | relaxed

a = 4.3933 Å, b = 4.3933 Å, c = 12.1924 Å
α = 90.00°, β = 90.00°, γ = 120.00°
Sites, in units of the cell vectors:
Tm1 0.0000 0.0000 0.2500
Tm2 0.0000 0.0000 0.7500
Zn1 0.3333 0.6667 0.0831
Zn2 0.3333 0.6667 0.4169
Zn3 0.6667 0.3333 0.5831
Zn4 0.6667 0.3333 0.9169
Pt1 0.0000 0.0000 0.0000
Pt2 0.0000 0.0000 0.5000
Pt3 0.3333 0.6667 0.6318
Pt4 0.3333 0.6667 0.8682
Pt5 0.6667 0.3333 0.1318
Pt6 0.6667 0.3333 0.3682

Output
SG ... No. 194
DFT formation energy ... -859 meV per atom
Size of the total moment ... 0.0 μB/f.u.

Li4MgAl | PBE | relaxed

a = 5.2751 Å, b = 5.2751 Å, c = 5.2751 Å
α = 60.00°, β = 60.00°, γ = 60.00°
Sites, in units of the cell vectors:
Li1 0.3762 0.3762 0.3762
Li2 0.3762 0.3762 0.8715
Li3 0.3762 0.8715 0.3762
Li4 0.8715 0.3762 0.3762
Mg1 0.0000 0.0000 0.0000
Al1 0.7500 0.7500 0.7500

Output
SG ... No. 216
Energy above the most stable polymorph in this dataset ... 0.51 eV/f.u.
DFT formation energy ... 2 meV per atom
Size of the total moment ... 0.0 μB/f.u.

BaCaB2 | PBE | relaxed

a = 4.9844 Å, b = 4.9844 Å, c = 4.9844 Å
α = 60.00°, β = 60.00°, γ = 60.00°
Sites, in units of the cell vectors:
Ba1 0.0000 0.0000 0.0000
Ca1 0.5000 0.5000 0.5000
B1 0.2500 0.2500 0.2500
B2 0.7500 0.7500 0.7500

Output
SG ... No. 225
Energy above the most stable polymorph in this dataset ... 0.00 eV/f.u.
DFT formation energy ... 984 meV per atom
Size of the total moment ... 0.0 μB/f.u.

Ag5Ge3Te12 | PBE | relaxed

a = 14.7574 Å, b = 14.7574 Å, c = 14.7574 Å
α = 109.47°, β = 109.47°, γ = 109.47°
Sites, in units of the cell vectors:
Ag1 0.0000 0.0000 0.0000
Ag2 0.0000 0.0000 0.5000
Ag3 0.0000 0.5000 0.0000
Ag4 0.0000 0.5000 0.5000
Ag5 0.1250 0.7500 0.8750
Ag6 0.1250 0.8750 0.2500
Ag7 0.2500 0.1250 0.8750
Ag8 0.2500 0.6250 0.3750
Ag9 0.3750 0.2500 0.6250
Ag10 0.3750 0.6250 0.7500
Ag11 0.5000 0.0000 0.0000
Ag12 0.5000 0.0000 0.5000
Ag13 0.5000 0.5000 0.0000
Ag14 0.5000 0.5000 0.5000
Ag15 0.6250 0.3750 0.2500
Ag16 0.6250 0.7500 0.3750
Ag17 0.7500 0.3750 0.6250
Ag18 0.7500 0.8750 0.1250
Ag19 0.8750 0.1250 0.7500
Ag20 0.8750 0.2500 0.1250
Ge1 0.1250 0.2500 0.3750
Ge2 0.1250 0.3750 0.7500
Ge3 0.2500 0.3750 0.1250
Ge4 0.2500 0.8750 0.6250
Ge5 0.3750 0.1250 0.2500
Ge6 0.3750 0.7500 0.1250
Ge7 0.6250 0.2500 0.8750
Ge8 0.6250 0.8750 0.7500
Ge9 0.7500 0.1250 0.3750
Ge10 0.7500 0.6250 0.8750
Ge11 0.8750 0.6250 0.2500
Ge12 0.8750 0.7500 0.6250
Te1 0.0540 0.2237 0.1397
Te2 0.0540 0.3303 0.9142
Te3 0.0839 0.7237 0.6697
Te4 0.0839 0.8603 0.4142
Te5 0.0858 0.6397 0.4161
Te6 0.0858 0.9460 0.6697
Te7 0.1397 0.0540 0.2237
Te8 0.1397 0.5858 0.9161
Te9 0.1697 0.2237 0.5839
Te10 0.1697 0.4460 0.5858
Te11 0.2237 0.1397 0.0540
Te12 0.2237 0.5839 0.1697
Te13 0.2763 0.3303 0.9161
Te14 0.2763 0.4460 0.3603
Te15 0.3303 0.9142 0.0540
Te16 0.3303 0.9161 0.2763
Te17 0.3603 0.2763 0.4460
Te18 0.3603 0.5839 0.9142
Te19 0.4142 0.0839 0.8603
Te20 0.4142 0.8303 0.5540
Te21 0.4161 0.0858 0.6397
Te22 0.4161 0.8303 0.7763
Te23 0.4460 0.3603 0.2763
Te24 0.4460 0.5858 0.1697
Te25 0.5540 0.4142 0.8303
Te26 0.5540 0.6397 0.7237
Te27 0.5839 0.1697 0.2237
Te28 0.5839 0.9142 0.3603
Te29 0.5858 0.1697 0.4460
Te30 0.5858 0.9161 0.1397
Te31 0.6397 0.4161 0.0858
Te32 0.6397 0.7237 0.5540
Te33 0.6697 0.0839 0.7237
Te34 0.6697 0.0858 0.9460
Te35 0.7237 0.5540 0.6397
Te36 0.7237 0.6697 0.0839
Te37 0.7763 0.4161 0.8303
Te38 0.7763 0.8603 0.9460
Te39 0.8303 0.5540 0.4142
Te40 0.8303 0.7763 0.4161
Te41 0.8603 0.4142 0.0839
Te42 0.8603 0.9460 0.7763
Te43 0.9142 0.0540 0.3303
Te44 0.9142 0.3603 0.5839
Te45 0.9161 0.1397 0.5858
Te46 0.9161 0.2763 0.3303
Te47 0.9460 0.6697 0.0858
Te48 0.9460 0.7763 0.8603

Output
Formation energy without anion corrections ... 0.208 eV/atom
SG ... No. 230
Size of the total moment ... 0.0 μB/f.u.

Sr2PbF2 | PBE | relaxed

a = 8.1678 Å, b = 8.1678 Å, c = 8.1678 Å
α = 151.42°, β = 151.42°, γ = 40.86°
Sites, in units of the cell vectors:
Sr1 0.1550 0.1550 0.0000
Sr2 0.8450 0.8450 0.0000
Pb1 0.5000 0.5000 0.0000
F1 0.2500 0.7500 0.5000
F2 0.7500 0.2500 0.5000

Output
Formation energy without anion corrections ... -2.552 eV/atom
SG ... No. 139
Size of the total moment ... 0.0 μB/f.u.

Ac6Tl3Os | PBE | relaxed

a = 7.4369 Å, b = 9.2914 Å, c = 12.9996 Å
α = 90.00°, β = 119.37°, γ = 90.00°
Sites, in units of the cell vectors:
Ac1 0.0759 0.0607 0.2353
Ac2 0.0759 0.4393 0.7353
Ac3 0.1963 0.7093 0.0710
Ac4 0.1963 0.7907 0.5710
Ac5 0.3894 0.1521 0.0572
Ac6 0.3894 0.3479 0.5572
Ac7 0.6106 0.6521 0.4428
Ac8 0.6106 0.8479 0.9428
Ac9 0.8037 0.2093 0.4290
Ac10 0.8037 0.2907 0.9290
Ac11 0.9241 0.5607 0.2647
Ac12 0.9241 0.9393 0.7647
Tl1 0.3162 0.1103 0.7373
Tl2 0.3162 0.3897 0.2373
Tl3 0.5000 0.0000 0.5000
Tl4 0.5000 0.5000 0.0000
Tl5 0.6838 0.6103 0.7627
Tl6 0.6838 0.8897 0.2627
Os1 0.0000 0.0000 0.0000
Os2 0.0000 0.5000 0.5000

Output
SG ... No. 14
DFT formation energy ... -179 meV per atom
Size of the total moment ... 0.0 μB/f.u.

MgUGa | PBE | relaxed

a = 2.9860 Å, b = 2.9860 Å, c = 7.9598 Å
α = 90.00°, β = 90.00°, γ = 120.00°
Sites, in units of the cell vectors:
Mg1 0.0000 0.0000 0.0000
U1 0.3333 0.6667 0.6325
Ga1 0.6667 0.3333 0.3034

Output
SG ... No. 156
DFT formation energy ... 45 meV per atom
Size of the total moment ... 1.9 μB/f.u.

Nd12Er5Tm | PBE | relaxed

a = 10.8596 Å, b = 10.8596 Å, c = 5.1371 Å
α = 90.00°, β = 90.00°, γ = 90.41°
Sites, in units of the cell vectors:
Nd1 0.0021 0.6688 0.5000
Nd2 0.1644 0.1644 0.0000
Nd3 0.1686 0.5018 0.0000
Nd4 0.3312 0.9979 0.5000
Nd5 0.3350 0.3350 0.5000
Nd6 0.4982 0.8314 0.0000
Nd7 0.5018 0.1686 0.0000
Nd8 0.6650 0.6650 0.5000
Nd9 0.6688 0.0021 0.5000
Nd10 0.8314 0.4982 0.0000
Nd11 0.8356 0.8356 0.0000
Nd12 0.9979 0.3312 0.5000
Er1 0.1667 0.8333 0.0000
Er2 0.3335 0.6665 0.5000
Er3 0.5000 0.5000 0.0000
Er4 0.6665 0.3335 0.5000
Er5 0.8333 0.1667 0.0000
Tm1 0.0000 0.0000 0.5000

Output
SG ... No. 65
DFT formation energy ... 23 meV per atom
Size of the total moment ... 0.0 μB/f.u.

Pa6Co5Rh | PBE | relaxed

a = 6.5875 Å, b = 6.5875 Å, c = 13.1758 Å
α = 90.00°, β = 90.00°, γ = 120.00°
Sites, in units of the cell vectors:
Pa1 0.0000 0.3415 0.1173
Pa2 0.0000 0.3415 0.3827
Pa3 0.0000 0.6585 0.6173
Pa4 0.0000 0.6585 0.8827
Pa5 0.3415 0.0000 0.1173
Pa6 0.3415 0.0000 0.3827
Pa7 0.3415 0.3415 0.6173
Pa8 0.3415 0.3415 0.8827
Pa9 0.6585 0.0000 0.6173
Pa10 0.6585 0.0000 0.8827
Pa11 0.6585 0.6585 0.1173
Pa12 0.6585 0.6585 0.3827
Co1 0.0000 0.3892 0.7500
Co2 0.0000 0.6108 0.2500
Co3 0.3333 0.6667 0.0000
Co4 0.3333 0.6667 0.5000
Co5 0.3892 0.0000 0.7500
Co6 0.3892 0.3892 0.2500
Co7 0.6108 0.0000 0.2500
Co8 0.6108 0.6108 0.7500
Co9 0.6667 0.3333 0.0000
Co10 0.6667 0.3333 0.5000
Rh1 0.0000 0.0000 0.2500
Rh2 0.0000 0.0000 0.7500

Output
SG ... No. 193
DFT formation energy ... -124 meV per atom
Size of the total moment ... 0.0 μB/f.u.

Q: Look up the size of the total moment of the sixth one.
A: 0.0 μB/f.u.

Q: Which of these has the highest size of the total moment?
A: MgUGa